DFT (meta-GGA SCAN) results for a PBEsol-optimized structure of ScNiW2.

Cell lengths 2.706, 4.316, 5.345 Å; angles 90.00, 99.39, 90.00 degrees
Positions (direct):
Ni  0.522  0.000  0.504
Sc  0.247  0.500  0.737
W  0.978  0.000  0.018
W  0.753  0.500  0.241

Symmetry: Pm
Energy above the most stable polymorph in this dataset: 0.0000 eV/atom
DFT formation energy: 204.9 meV per atom

DFT (meta-GGA SCAN) results for a PBEsol-optimized structure of Tb5Ge3C.

Cell lengths 6.378, 8.459, 8.459 Å; angles 120.00, 90.00, 90.00 degrees
Positions (direct):
Tb  0.500  0.667  0.333
Tb  0.500  0.333  0.667
Tb  0.000  0.333  0.667
Tb  0.000  0.667  0.333
Tb  0.750  0.222  0.222
Tb  0.750  0.000  0.778
Tb  0.750  0.778  0.000
Tb  0.250  0.778  0.778
Tb  0.250  0.000  0.222
Tb  0.250  0.222  0.000
Ge  0.750  0.592  0.592
Ge  0.750  0.000  0.408
Ge  0.750  0.408  0.000
Ge  0.250  0.408  0.408
Ge  0.250  0.000  0.592
Ge  0.250  0.592  0.000
C  0.500  0.000  0.000
C  0.000  0.000  0.000

Symmetry: P6_3/mcm
DFT formation energy: -805.9 meV per atom

DFT (meta-GGA SCAN) results for a PBEsol-optimized structure of Ir5Os3.

Cell lengths 3.819, 5.415, 5.415 Å; angles 90.34, 90.00, 90.00 degrees
Positions (direct):
Ir  0.000  0.000  0.000
Ir  0.000  0.000  0.500
Ir  0.000  0.500  0.000
Ir  0.500  0.749  0.251
Ir  0.500  0.251  0.749
Os  0.000  0.500  0.500
Os  0.500  0.252  0.252
Os  0.500  0.748  0.748

Symmetry: Cmmm
DFT formation energy: 32.4 meV per atom

DFT (meta-GGA SCAN) results for a PBEsol-optimized structure of NaY3Ga.

Cell lengths 5.316, 5.316, 5.316 Å; angles 90.00, 90.00, 90.00 degrees
Last column: magnetic moment on the atom in μB.
Positions (direct):
Y  0.000  0.500  0.000  0.39
Y  0.000  0.000  0.500  0.39
Y  0.500  0.000  0.000  0.39
Na  0.000  0.000  0.000  0.06
Ga  0.500  0.500  0.500  -0.03

Symmetry: Pm-3m
DFT formation energy: 878.3 meV per atom

DFT (meta-GGA SCAN) results for a PBEsol-optimized structure of Eu2CuH4S2O12.

Cell lengths 6.364, 6.833, 10.718 Å; angles 90.00, 98.18, 90.00 degrees
Last column: magnetic moment on the atom in μB.
Positions (direct):
Eu  0.921  0.502  0.678  6.38
Eu  0.079  0.002  0.822  6.38
Eu  0.079  0.498  0.322  6.38
Eu  0.921  0.998  0.178  6.38
Cu  0.000  0.500  0.000  0.23
Cu  0.000  0.000  0.500  0.23
H  0.232  0.722  0.107  0.00
H  0.768  0.222  0.393  0.00
H  0.768  0.278  0.893  0.00
H  0.232  0.778  0.607  0.00
H  0.286  0.607  0.901  0.00
H  0.714  0.107  0.599  0.00
H  0.714  0.393  0.099  0.00
H  0.286  0.893  0.401  0.00
S  0.638  0.674  0.370  0.00
S  0.362  0.174  0.130  0.00
S  0.362  0.326  0.630  0.00
S  0.638  0.826  0.870  0.00
O  0.094  0.678  0.127  -0.01
O  0.906  0.178  0.373  -0.01
O  0.906  0.322  0.873  -0.01
O  0.094  0.822  0.627  -0.01
O  0.133  0.642  0.883  -0.01
O  0.867  0.142  0.617  -0.01
O  0.867  0.358  0.117  -0.01
O  0.133  0.858  0.383  -0.01
O  0.758  0.709  0.261  -0.02
O  0.242  0.209  0.239  -0.02
O  0.242  0.291  0.739  -0.02
O  0.758  0.791  0.761  -0.02
O  0.786  0.542  0.455  -0.02
O  0.214  0.042  0.045  -0.02
O  0.214  0.458  0.545  -0.02
O  0.786  0.958  0.955  -0.02
O  0.444  0.565  0.324  -0.01
O  0.556  0.065  0.176  -0.01
O  0.556  0.435  0.676  -0.01
O  0.444  0.935  0.824  -0.01
O  0.595  0.854  0.434  0.00
O  0.405  0.354  0.066  0.00
O  0.405  0.146  0.566  0.00
O  0.595  0.646  0.934  0.00

Total DFT energy (no corrections): -12.814 eV per atom
Symmetry: P2_1/c

DFT (meta-GGA SCAN) results for a PBEsol-optimized structure of CdInOs2.

Cell lengths 2.889, 2.889, 9.211 Å; angles 80.98, 80.98, 60.00 degrees
Last column: magnetic moment on the atom in μB.
Positions (direct):
Cd  0.500  0.500  0.500  0.01
In  0.000  0.000  0.000  0.00
Os  0.252  0.252  0.245  0.52
Os  0.748  0.748  0.755  0.52

Symmetry: R-3m
DFT formation energy: 684.1 meV per atom

DFT (meta-GGA SCAN) results for a PBEsol-optimized structure of Lu3Sn.

Cell lengths 5.362, 6.568, 6.568 Å; angles 120.00, 90.00, 90.00 degrees
Positions (direct):
Lu  0.250  0.340  0.170
Lu  0.250  0.830  0.170
Lu  0.250  0.830  0.660
Lu  0.750  0.660  0.830
Lu  0.750  0.170  0.830
Lu  0.750  0.170  0.340
Sn  0.750  0.667  0.333
Sn  0.250  0.333  0.667

Symmetry: P6_3/mmc
DFT formation energy: -431.2 meV per atom

DFT (meta-GGA SCAN) results for a PBEsol-optimized structure of SrLiN.

Cell lengths 3.894, 3.894, 6.985 Å; angles 90.00, 90.00, 90.00 degrees
Positions (direct):
Sr  0.000  0.000  0.750
Sr  0.000  0.000  0.250
Li  0.500  0.500  0.500
Li  0.500  0.500  0.000
N  0.000  0.500  0.000
N  0.500  0.000  0.500

Symmetry: P4_2/mmc
ΔE_f (raw): -62 kJ/mol of atoms

DFT (meta-GGA SCAN) results for a PBEsol-optimized structure of KNa2Si12B3O30.

Cell lengths 10.334, 10.334, 13.551 Å; angles 90.00, 90.00, 120.00 degrees
Positions (direct):
K  0.000  0.000  0.250
K  0.000  0.000  0.750
Na  0.667  0.333  0.750
Na  0.667  0.333  0.250
Na  0.333  0.667  0.250
Na  0.333  0.667  0.750
Si  0.663  0.732  0.614
Si  0.268  0.931  0.386
Si  0.663  0.732  0.386
Si  0.931  0.268  0.114
Si  0.732  0.663  0.114
Si  0.268  0.337  0.114
Si  0.069  0.732  0.114
Si  0.337  0.069  0.114
Si  0.268  0.931  0.614
Si  0.663  0.931  0.114
Si  0.069  0.337  0.614
Si  0.069  0.337  0.386
Si  0.337  0.069  0.886
Si  0.732  0.069  0.614
Si  0.337  0.268  0.614
Si  0.069  0.732  0.886
Si  0.268  0.337  0.886
Si  0.732  0.663  0.886
Si  0.931  0.268  0.886
Si  0.663  0.931  0.886
Si  0.931  0.663  0.386
Si  0.337  0.268  0.386
Si  0.732  0.069  0.386
Si  0.931  0.663  0.614
B  0.500  0.000  0.750
B  0.500  0.500  0.250
B  0.000  0.500  0.250
B  0.500  0.000  0.250
B  0.500  0.500  0.750
B  0.000  0.500  0.750
O  0.718  0.811  0.866
O  0.371  0.900  0.312
O  0.529  0.900  0.188
O  0.100  0.471  0.312
O  0.900  0.529  0.312
O  0.471  0.371  0.312
O  0.529  0.629  0.312
O  0.900  0.371  0.188
O  0.629  0.529  0.188
O  0.371  0.471  0.188
O  0.100  0.629  0.188
O  0.471  0.100  0.188
O  0.371  0.900  0.688
O  0.529  0.629  0.688
O  0.100  0.471  0.688
O  0.900  0.529  0.688
O  0.471  0.100  0.812
O  0.629  0.100  0.688
O  0.471  0.371  0.688
O  0.100  0.629  0.812
O  0.371  0.471  0.812
O  0.629  0.529  0.812
O  0.900  0.371  0.812
O  0.718  0.907  0.366
O  0.907  0.189  0.366
O  0.282  0.093  0.366
O  0.811  0.718  0.366
O  0.189  0.282  0.366
O  0.718  0.811  0.134
O  0.093  0.811  0.366
O  0.608  0.918  0.000
O  0.918  0.309  0.000
O  0.691  0.608  0.000
O  0.309  0.392  0.000
O  0.082  0.691  0.000
O  0.392  0.309  0.500
O  0.691  0.082  0.500
O  0.392  0.082  0.000
O  0.918  0.608  0.500
O  0.082  0.392  0.500
O  0.608  0.691  0.500
O  0.309  0.918  0.500
O  0.629  0.100  0.312
O  0.811  0.093  0.866
O  0.907  0.718  0.866
O  0.093  0.282  0.866
O  0.189  0.907  0.866
O  0.282  0.093  0.634
O  0.907  0.189  0.634
O  0.282  0.189  0.866
O  0.811  0.718  0.634
O  0.189  0.282  0.634
O  0.718  0.907  0.634
O  0.093  0.811  0.634
O  0.282  0.189  0.134
O  0.189  0.907  0.134
O  0.093  0.282  0.134
O  0.907  0.718  0.134
O  0.811  0.093  0.134
O  0.529  0.900  0.812

Symmetry: P6/mcc
ΔE_f (raw): -283 kJ/mol of atoms

DFT (meta-GGA SCAN) results for a PBEsol-optimized structure of BaBiB3.

Cell lengths 4.819, 4.819, 4.819 Å; angles 90.00, 90.00, 90.00 degrees
Positions (direct):
B  0.000  0.500  0.000
B  0.000  0.000  0.500
B  0.500  0.000  0.000
Bi  0.000  0.000  0.000
Ba  0.500  0.500  0.500

Symmetry: Pm-3m
DFT formation energy: 1760.4 meV per atom

DFT (meta-GGA SCAN) results for a PBEsol-optimized structure of LiNiSe4.

Cell lengths 5.579, 5.579, 5.579 Å; angles 60.00, 60.00, 60.00 degrees
Last column: magnetic moment on the atom in μB.
Positions (direct):
Li  0.750  0.750  0.750  0.00
Ni  0.000  0.000  0.000  1.19
Se  0.374  0.374  0.374  0.05
Se  0.374  0.374  0.877  0.05
Se  0.877  0.374  0.374  0.05
Se  0.374  0.877  0.374  0.05

Symmetry: F-43m
ΔE_f (raw): 56 kJ/mol of atoms

DFT (meta-GGA SCAN) results for a PBEsol-optimized structure of KTlSb.

Cell lengths 3.743, 3.743, 7.283 Å; angles 104.89, 104.89, 90.00 degrees
Positions (direct):
Sb  0.317  0.317  0.634
Tl  0.686  0.686  0.373
K  0.997  0.997  0.993

Symmetry: I4mm
Energy above the most stable polymorph in this dataset: 0.0148 eV/atom
ΔE_f (raw): -26 kJ/mol of atoms

DFT (meta-GGA SCAN) results for a PBEsol-optimized structure of SiPSe2.

Cell lengths 3.254, 3.254, 7.860 Å; angles 90.00, 90.00, 90.00 degrees
Positions (direct):
P  0.500  0.500  0.798
Si  0.000  0.000  0.461
Se  0.000  0.000  0.925
Se  0.500  0.500  0.315

Symmetry: P4mm
Energy above the most stable polymorph in this dataset: 0.0862 eV/atom
ΔE_f (raw): 40 kJ/mol of atoms

DFT (meta-GGA SCAN) results for a PBEsol-optimized structure of Ag3IN.

Cell lengths 4.475, 4.475, 4.475 Å; angles 90.00, 90.00, 90.00 degrees
Positions (direct):
I  0.500  0.500  0.500
Ag  0.000  0.500  0.000
Ag  0.000  0.000  0.500
Ag  0.500  0.000  0.000
N  0.000  0.000  0.000

Symmetry: Pm-3m
ΔE_f (raw): 57 kJ/mol of atoms

DFT (meta-GGA SCAN) results for a PBEsol-optimized structure of BaMg2Mo.

Cell lengths 5.205, 5.205, 5.205 Å; angles 60.00, 60.00, 60.00 degrees
Last column: magnetic moment on the atom in μB.
Positions (direct):
Ba  0.000  0.000  0.000  -0.04
Mg  0.250  0.250  0.250  -0.03
Mg  0.750  0.750  0.750  -0.03
Mo  0.500  0.500  0.500  3.05

Symmetry: Fm-3m
Energy above the most stable polymorph in this dataset: 0.1264 eV/atom
DFT formation energy: 737.4 meV per atom

DFT (meta-GGA SCAN) results for a PBEsol-optimized structure of YIn5Rh.

Cell lengths 4.582, 4.582, 7.363 Å; angles 90.00, 90.00, 90.00 degrees
Positions (direct):
Y  0.000  0.000  0.000
Rh  0.000  0.000  0.500
In  0.500  0.500  0.000
In  0.500  0.000  0.700
In  0.000  0.500  0.300
In  0.500  0.000  0.300
In  0.000  0.500  0.700

Symmetry: P4/mmm
DFT formation energy: -544.6 meV per atom

DFT (meta-GGA SCAN) results for a PBEsol-optimized structure of Ba2Pd2Au.

Cell lengths 3.871, 3.871, 9.343 Å; angles 101.96, 101.96, 90.00 degrees
Positions (direct):
Au  0.000  0.000  0.000
Ba  0.387  0.387  0.775
Ba  0.613  0.613  0.225
Pd  0.250  0.750  0.500
Pd  0.750  0.250  0.500

Symmetry: I4/mmm
DFT formation energy: -507.1 meV per atom

DFT (meta-GGA SCAN) results for a PBEsol-optimized structure of NiRh2.

Cell lengths 2.639, 4.491, 6.380 Å; angles 90.28, 90.00, 90.00 degrees
Last column: magnetic moment on the atom in μB.
Positions (direct):
Ni  0.250  0.420  0.340  0.98
Ni  0.750  0.580  0.660  0.98
Rh  0.250  0.746  0.994  0.36
Rh  0.750  0.915  0.335  0.45
Rh  0.250  0.085  0.665  0.45
Rh  0.750  0.254  0.006  0.36

Symmetry: P2_1/m
Energy above the most stable polymorph in this dataset: 0.0054 eV/atom
DFT formation energy: 42.5 meV per atom

DFT (meta-GGA SCAN) results for a PBEsol-optimized structure of Ta2AgRu.

Cell lengths 3.950, 4.016, 4.016 Å; angles 90.00, 90.00, 90.00 degrees
Positions (direct):
Ag  0.500  0.500  0.500
Ru  0.500  0.000  0.000
Ta  0.000  0.000  0.500
Ta  0.000  0.500  0.000

Symmetry: P4/mmm
Energy above the most stable polymorph in this dataset: 0.0216 eV/atom
DFT formation energy: 58.4 meV per atom

DFT (meta-GGA SCAN) results for a PBEsol-optimized structure of TePPd3.

Cell lengths 4.849, 4.849, 4.849 Å; angles 90.00, 90.00, 90.00 degrees
Last column: magnetic moment on the atom in μB.
Positions (direct):
P  0.500  0.500  0.500  0.51
Te  0.000  0.000  0.000  0.03
Pd  0.000  0.500  0.000  0.02
Pd  0.000  0.000  0.500  0.02
Pd  0.500  0.000  0.000  0.02

Symmetry: Pm-3m
ΔE_f (raw): 74 kJ/mol of atoms

We obtain calculated volume values of 15.39, 21.96, 14.00, 30.04, 10.98, 16.37, 25.04, 17.65, 13.06, 22.38, 20.47, 31.69, 20.81, 17.92, 24.93, 22.08, 26.77, 12.60, 15.93, 22.81 Å³ per atom for the records listed above, in that order.